This record from Alexandria describes crystalline CdSiNiSb2 at its relaxed geometry. The functional is PBE-GGA.

a = 5.4898 Å, b = 5.4898 Å, c = 4.8408 Å
α = 90.00°, β = 90.00°, γ = 90.00°
Atoms (fractional coordinates):
1 Cd 0.0000 0.0000 0.0000
2 Si 0.0000 0.0000 0.5000
3 Ni 0.5000 0.5000 0.5000
4 Sb 0.0000 0.5000 0.0000
5 Sb 0.5000 0.0000 0.0000

Values from the calculation:
E_form (uncorrected)   1.360 eV per atom
Space-group type   P4/mmm (123)
Total moment   0.0 μB per cell

This record from Alexandria describes crystalline AcBrN at its relaxed geometry. The functional is PBE-GGA.

a = 4.3276 Å, b = 4.3276 Å, c = 11.1826 Å
α = 99.77°, β = 99.77°, γ = 54.89°
Atoms (fractional coordinates):
1 Ac 0.0932 0.0932 0.3665
2 Ac 0.9068 0.9068 0.6335
3 Br 0.2903 0.2903 0.8193
4 Br 0.7097 0.7097 0.1807
5 N 0.4175 0.4175 0.4559
6 N 0.5825 0.5825 0.5441

Values from the calculation:
E_form (uncorrected)   -1.451 eV per atom
Space-group type   C2/m (12)
Polymorph energy (0 for the lowest one)   0.000 eV per atom
Total moment   0.0 μB per cell

This record from Alexandria describes crystalline Ca2Ag2Pd15 at its relaxed geometry. The functional is PBE-GGA.

a = 6.9934 Å, b = 6.9934 Å, c = 6.9934 Å
α = 82.49°, β = 82.49°, γ = 82.49°
Atoms (fractional coordinates):
1 Ca 0.1572 0.1572 0.1572
2 Ca 0.8428 0.8428 0.8428
3 Ag 0.4002 0.4002 0.4002
4 Ag 0.5998 0.5998 0.5998
5 Pd 0.0000 0.5000 0.5000
6 Pd 0.1544 0.1544 0.6608
7 Pd 0.1544 0.6608 0.1544
8 Pd 0.1914 0.5000 0.8086
9 Pd 0.1914 0.8086 0.5000
10 Pd 0.3392 0.8456 0.8456
11 Pd 0.5000 0.0000 0.5000
12 Pd 0.5000 0.1914 0.8086
13 Pd 0.5000 0.5000 0.0000
14 Pd 0.5000 0.8086 0.1914
15 Pd 0.6608 0.1544 0.1544
16 Pd 0.8086 0.1914 0.5000
17 Pd 0.8086 0.5000 0.1914
18 Pd 0.8456 0.3392 0.8456
19 Pd 0.8456 0.8456 0.3392

Values from the calculation:
Formation enthalpy at 0 K   -0.2207 eV per atom
Space-group type   R-3m (166)
Total moment   0.0 μB per cell

> total moment of number 1 (CdSiNiSb2)?

0.0 μB per cell